[1]
Material: LiIrRuRh
Method: DFT, PBE-GGA
State: optimized geometry

Results
* total magnetic moment: 1.7 μB/f.u.
* ρ: 12.2 g/cm3
* symmetry: F-43m, No. 216
* energy of formation: 146 meV/atom
* Fermi-level density of states: 4.85 states/eV/f.u.

Cell and atoms, written as POSCAR:
```
LiIrRuRh
1.0
0.0000 3.0195 3.0195
3.0195 0.0000 3.0195
3.0195 3.0195 0.0000
Li Ir Ru Rh
1 1 1 1
direct
0.0000 0.0000 0.0000
0.7500 0.7500 0.7500
0.5000 0.5000 0.5000
0.2500 0.2500 0.2500
```

[2]
Material: TlCuGe
Method: DFT, PBE-GGA
State: optimized geometry

Results
* total magnetic moment: 0.0 μB/f.u.
* ρ: 9.3 g/cm3
* symmetry: Pnma, No. 62
* energy of formation: 253 meV/atom
* Fermi-level density of states: 1.15 states/eV/f.u.

Cell and atoms, written as POSCAR:
```
TlCuGe
1.0
7.6155 0.0000 0.0000
0.0000 4.4834 0.0000
0.0000 0.0000 7.1010
Tl Cu Ge
4 4 4
direct
0.0152 0.2500 0.1755
0.4848 0.7500 0.6755
0.5152 0.2500 0.3245
0.9848 0.7500 0.8245
0.1298 0.7500 0.4304
0.3702 0.2500 0.9304
0.6298 0.7500 0.0696
0.8702 0.2500 0.5696
0.2079 0.2500 0.6070
0.2921 0.7500 0.1070
0.7079 0.2500 0.8930
0.7921 0.7500 0.3930
```

[3]
Material: KU2O5
Method: DFT, PBE-GGA
State: optimized geometry

Results
* total magnetic moment: 3.0 μB/f.u.
* ρ: 8.1 g/cm3
* symmetry: Immm, No. 71
* Fermi-level density of states: 9.79 states/eV/f.u.
* raw total energy: -71.98 eV/cell

Cell and atoms, written as POSCAR:
```
KU2O5
1.0
-1.7866 2.8506 6.0038
1.7866 -2.8506 6.0038
1.7866 2.8506 -6.0038
K U O
1 2 5
direct
0.0000 0.0000 0.0000
0.3214 0.8214 0.5000
0.6786 0.1786 0.5000
0.0907 0.3328 0.7579
0.4251 0.6672 0.7579
0.5000 0.0000 0.5000
0.5749 0.3328 0.2421
0.9093 0.6672 0.2421
```